[1]
{
  "formula": "RuF3",
  "functional": "GGA-PBE",
  "state": "relaxed",
  "cell": [[1.331, 0.769, 8.854], [-1.331, 0.769, 8.854], [0.000, -1.537, 8.854]],
  "species": ["Ru", "F", "F", "F"],
  "fractional_positions": [[0.000, 0.000, 0.000], [0.070, 0.070, 0.070], [0.500, 0.500, 0.500], [0.930, 0.930, 0.930]],
  "crystal_system": "trigonal",
  "spacegroup": "R-3m",
  "formation_energy_uncorrected_ev_per_atom": -0.465
}

---

[2]
{
  "formula": "RuF3",
  "functional": "GGA-PBE",
  "state": "relaxed",
  "cell": [[-1.518, 3.781, 2.488], [1.518, -3.781, 2.488], [1.518, 3.781, -2.488]],
  "species": ["Ru", "F", "F", "F"],
  "fractional_positions": [[0.000, 0.000, 0.000], [0.007, 0.349, 0.658], [0.278, 0.778, 0.500], [0.691, 0.349, 0.342]],
  "crystal_system": "orthorhombic",
  "spacegroup": "Imm2",
  "formation_energy_uncorrected_ev_per_atom": -1.156
}

---

[3]
{
  "formula": "RuF3",
  "functional": "GGA-PBE",
  "state": "relaxed",
  "cell": [[2.539, 1.466, 4.642], [-2.539, 1.466, 4.642], [0.000, -2.932, 4.642]],
  "species": ["Ru", "Ru", "F", "F", "F", "F", "F", "F"],
  "fractional_positions": [[0.000, 0.000, 0.000], [0.500, 0.500, 0.500], [0.102, 0.750, 0.398], [0.250, 0.602, 0.898], [0.398, 0.102, 0.750], [0.602, 0.898, 0.250], [0.750, 0.398, 0.102], [0.898, 0.250, 0.602]],
  "crystal_system": "trigonal",
  "spacegroup": "R-3c",
  "formation_energy_uncorrected_ev_per_atom": -1.563
}

---

[4]
{
  "formula": "RuF3",
  "functional": "GGA-PBE",
  "state": "relaxed",
  "cell": [[0.000, 2.763, 2.763], [2.763, 0.000, 2.763], [2.763, 2.763, 0.000]],
  "species": ["Ru", "F", "F", "F"],
  "fractional_positions": [[0.000, 0.000, 0.000], [0.250, 0.250, 0.250], [0.500, 0.500, 0.500], [0.750, 0.750, 0.750]],
  "crystal_system": "cubic",
  "spacegroup": "Fm-3m",
  "formation_energy_uncorrected_ev_per_atom": -0.796
}

---

[5]
{
  "formula": "RuF3",
  "functional": "GGA-PBE",
  "state": "relaxed",
  "cell": [[-1.866, 1.866, 7.225], [1.866, -1.866, 7.225], [1.866, 1.866, -7.225]],
  "species": ["Ru", "Ru", "F", "F", "F", "F", "F", "F"],
  "fractional_positions": [[0.000, 0.000, 0.000], [0.750, 0.250, 0.500], [0.060, 0.625, 0.935], [0.250, 0.750, 0.500], [0.375, 0.310, 0.435], [0.500, 0.500, 0.000], [0.690, 0.125, 0.065], [0.875, 0.940, 0.565]],
  "crystal_system": "tetragonal",
  "spacegroup": "I-42d",
  "formation_energy_uncorrected_ev_per_atom": -0.701
}

---

[6]
{
  "formula": "RuS2F",
  "functional": "GGA-PBE",
  "state": "relaxed",
  "cell": [[0.000, 2.918, 2.918], [2.918, 0.000, 2.918], [2.918, 2.918, 0.000]],
  "species": ["Ru", "S", "S", "F"],
  "fractional_positions": [[0.000, 0.000, 0.000], [0.250, 0.250, 0.250], [0.750, 0.750, 0.750], [0.500, 0.500, 0.500]],
  "crystal_system": "cubic",
  "spacegroup": "Fm-3m",
  "formation_energy_uncorrected_ev_per_atom": -0.143,
  "de_polymorph_ev_per_fu": 1.25
}

---

[7]
{
  "formula": "RuSF",
  "functional": "GGA-PBE",
  "state": "relaxed",
  "cell": [[5.999, -1.681, 0.000], [5.999, 1.681, 0.000], [-1.949, 0.000, 5.172]],
  "species": ["Ru", "Ru", "S", "S", "F", "F"],
  "fractional_positions": [[0.231, 0.231, 0.272], [0.769, 0.769, 0.728], [0.380, 0.380, 0.669], [0.620, 0.620, 0.331], [0.163, 0.163, 0.863], [0.837, 0.837, 0.137]],
  "crystal_system": "monoclinic",
  "spacegroup": "C2/m",
  "formation_energy_uncorrected_ev_per_atom": -0.873
}

---

[8]
{
  "formula": "RuS2F",
  "functional": "GGA-PBE",
  "state": "relaxed",
  "cell": [[-2.864, 2.864, 4.775], [2.864, -2.864, 4.775], [2.864, 2.864, -4.775]],
  "species": ["Ru", "Ru", "S", "S", "S", "S", "F", "F"],
  "fractional_positions": [[0.000, 0.000, 0.000], [0.750, 0.250, 0.500], [0.076, 0.625, 0.951], [0.375, 0.326, 0.451], [0.674, 0.125, 0.049], [0.875, 0.924, 0.549], [0.250, 0.750, 0.500], [0.500, 0.500, 0.000]],
  "crystal_system": "tetragonal",
  "spacegroup": "I-42d",
  "formation_energy_uncorrected_ev_per_atom": -0.325,
  "de_polymorph_ev_per_fu": 0.52
}